[1]
Below is a relaxed Zr2Ir2Pt crystal, with properties calculated at the PBE level.

Unit cell a=7.282 b=7.282 c=3.446 alpha=90.00 beta=90.00 gamma=90.00
Space group P4/mbm (No. 127)
Symmetry-distinct sites (fractional):
Zr (0.169, 0.331, 0.000)
Ir (0.134, 0.634, 0.500)
Pt (0.000, 0.000, 0.500)

Properties
* offset from the most stable computed form: 0.000 eV/atom
* DFT total energy: -8.91 eV per atom
* crystal system: tetragonal
* formation energy from the elements: -0.73 eV/atom

=====

[2]
Below is a relaxed ZrIrPt2 crystal, with properties calculated at the PBE level.

Unit cell a=6.463 b=6.463 c=6.463 alpha=90.00 beta=90.00 gamma=90.00
Space group F-43m (No. 216)
Symmetry-distinct sites (fractional):
Zr (0.000, 0.000, 0.000)
Ir (0.250, 0.250, 0.750)
Pt (0.000, 0.000, 0.500)
Pt (0.250, 0.250, 0.250)

Properties
* DFT total energy: -7.87 eV per atom
* crystal system: cubic
* formation energy from the elements: -0.50 eV/atom

=====

[3]
Below is a relaxed ZrIr2Pt crystal, with properties calculated at the PBE level.

Unit cell a=2.8498 b=2.8498 c=27.8828 alpha=90.00 beta=90.00 gamma=120.00
Space group R-3m (No. 166, hexagonal axes)
Symmetry-distinct sites (fractional):
Zr (0.0000, 0.0000, 0.0000)
Ir (0.0000, 0.0000, 0.2481)
Pt (0.0000, 0.0000, 0.5000)

Properties
* DFT total energy: -8.14 eV per atom
* crystal system: trigonal
* formation energy from the elements: -0.06 eV/atom

=====

[4]
Below is a relaxed Zr2IrPt2 crystal, with properties calculated at the PBE level.

Unit cell a=7.384 b=7.384 c=3.371 alpha=90.00 beta=90.00 gamma=90.00
Space group P4/mbm (No. 127)
Symmetry-distinct sites (fractional):
Zr (0.174, 0.326, 0.000)
Ir (0.000, 0.000, 0.500)
Pt (0.131, 0.631, 0.500)

Properties
* offset from the most stable computed form: 0.000 eV/atom
* DFT total energy: -8.41 eV per atom
* crystal system: tetragonal
* formation energy from the elements: -0.80 eV/atom

=====

[5]
Below is a relaxed Zr2IrPt5 crystal, with properties calculated at the PBE level.

Unit cell a=5.727 b=11.461 c=4.017 alpha=90.00 beta=90.00 gamma=90.00
Space group Pbam (No. 55)
Symmetry-distinct sites (fractional):
Zr (0.244, 0.122, 0.000)
Ir (0.000, 0.000, 0.500)
Pt (0.000, 0.500, 0.500)
Pt (0.003, 0.751, 0.500)
Pt (0.250, 0.376, 0.000)

Properties
* DFT total energy: -8.00 eV per atom
* crystal system: orthorhombic
* formation energy from the elements: -0.98 eV/atom

=====

[6]
Below is a relaxed Zr10Ir3Pt3 crystal, with properties calculated at the PBE level.

Unit cell a=8.1956 b=8.1956 c=5.4537 alpha=90.00 beta=90.00 gamma=120.00
Space group P-62m (No. 189)
Symmetry-distinct sites (fractional):
Zr (0.0000, 0.2447, 0.0000)
Zr (0.0000, 0.7573, 0.5000)
Zr (0.3333, 0.6667, 0.2528)
Ir (0.0000, 0.3943, 0.5000)
Pt (0.0000, 0.6020, 0.0000)

Properties
* DFT total energy: -8.91 eV per atom
* crystal system: hexagonal
* formation energy from the elements: -0.77 eV/atom

=====

[7]
Below is a relaxed ZrIr2Pt crystal, with properties calculated at the PBE level.

Unit cell a=6.442 b=6.442 c=6.442 alpha=90.00 beta=90.00 gamma=90.00
Space group F-43m (No. 216)
Symmetry-distinct sites (fractional):
Zr (0.000, 0.000, 0.000)
Ir (0.000, 0.000, 0.500)
Ir (0.250, 0.250, 0.250)
Pt (0.250, 0.250, 0.750)

Properties
* DFT total energy: -8.34 eV per atom
* crystal system: cubic
* formation energy from the elements: -0.27 eV/atom

=====

[8]
Below is a relaxed ZrIr2Pt crystal, with properties calculated at the PBE level.

Unit cell a=6.432 b=6.432 c=6.432 alpha=90.00 beta=90.00 gamma=90.00
Space group Fm-3m (No. 225)
Symmetry-distinct sites (fractional):
Zr (0.000, 0.000, 0.000)
Ir (0.250, 0.250, 0.250)
Pt (0.000, 0.000, 0.500)

Properties
* DFT total energy: -8.38 eV per atom
* crystal system: cubic
* formation energy from the elements: -0.30 eV/atom

=====

[9]
Below is a relaxed ZrIrPt2 crystal, with properties calculated at the PBE level.

Unit cell a=2.8575 b=2.8575 c=28.1849 alpha=90.00 beta=90.00 gamma=120.00
Space group R-3m (No. 166, hexagonal axes)
Symmetry-distinct sites (fractional):
Zr (0.0000, 0.0000, 0.0000)
Ir (0.0000, 0.0000, 0.5000)
Pt (0.0000, 0.0000, 0.2480)

Properties
* DFT total energy: -7.55 eV per atom
* crystal system: trigonal
* formation energy from the elements: -0.18 eV/atom

=====

[10]
Below is a relaxed Zr2Ir2Pt crystal, with properties calculated at the PBE level.

Unit cell a=7.765 b=7.765 c=3.089 alpha=90.00 beta=90.00 gamma=90.00
Space group P4/mbm (No. 127)
Symmetry-distinct sites (fractional):
Zr (0.161, 0.339, 0.000)
Ir (0.134, 0.634, 0.500)
Pt (0.000, 0.000, 0.000)

Properties
* offset from the most stable computed form: 0.223 eV/atom
* DFT total energy: -8.68 eV per atom
* crystal system: tetragonal
* formation energy from the elements: -0.51 eV/atom

=====

[11]
Below is a relaxed ZrIr2Pt crystal, with properties calculated at the PBE level.

Unit cell a=2.810 b=4.628 c=5.192 alpha=90.00 beta=100.98 gamma=90.00
Space group P2/m (No. 10)
Symmetry-distinct sites (fractional):
Zr (0.000, 0.000, 0.000)
Ir (0.364, 0.500, 0.735)
Pt (0.500, 0.000, 0.500)

Properties
* DFT total energy: -8.42 eV per atom
* crystal system: monoclinic
* formation energy from the elements: -0.34 eV/atom

=====

[12]
Below is a relaxed Pu5Ir4 crystal, with properties calculated at the PBE level.

Unit cell a=4.7541 b=4.7541 c=8.4857 alpha=90.00 beta=90.00 gamma=120.00
Space group P-3m1 (No. 164)
Symmetry-distinct sites (fractional):
Pu (0.0000, 0.0000, 0.0000)
Pu (0.3333, 0.6667, 0.5598)
Pu (0.3333, 0.6667, 0.8740)
Ir (0.0000, 0.0000, 0.3241)
Ir (0.3333, 0.6667, 0.2135)

Properties
* DFT total energy: -12.22 eV per atom
* crystal system: trigonal
* formation energy from the elements: -0.32 eV/atom

=====

[13]
Below is a relaxed Pu5Ir3 crystal, with properties calculated at the PBE level.

Unit cell a=11.104 b=11.104 c=5.716 alpha=90.00 beta=90.00 gamma=90.00
Space group P4/ncc (No. 130, origin choice 2)
Symmetry-distinct sites (fractional):
Pu (0.033, 0.165, 0.218)
Pu (0.250, 0.750, 0.000)
Ir (0.090, 0.590, 0.750)
Ir (0.250, 0.250, 0.464)

Properties
* DFT total energy: -12.70 eV per atom
* crystal system: tetragonal
* formation energy from the elements: -0.42 eV/atom

=====

[14]
Below is a relaxed Pu3Ir crystal, with properties calculated at the PBE level.

Unit cell a=3.888 b=3.888 c=14.427 alpha=90.00 beta=90.00 gamma=90.00
Space group I4/mmm (No. 139)
Symmetry-distinct sites (fractional):
Pu (0.000, 0.000, 0.000)
Pu (0.000, 0.000, 0.310)
Ir (0.000, 0.000, 0.500)

Properties
* DFT total energy: -12.92 eV per atom
* crystal system: tetragonal
* formation energy from the elements: 0.04 eV/atom

=====

[15]
Below is a relaxed Pu5Ir3 crystal, with properties calculated at the PBE level.

Unit cell a=11.100 b=11.100 c=5.701 alpha=90.00 beta=90.00 gamma=90.00
Space group I4/mcm (No. 140)
Symmetry-distinct sites (fractional):
Pu (0.000, 0.500, 0.250)
Pu (0.085, 0.218, 0.000)
Ir (0.000, 0.000, 0.250)
Ir (0.160, 0.340, 0.500)

Properties
* DFT total energy: -12.70 eV per atom
* crystal system: tetragonal
* formation energy from the elements: -0.42 eV/atom

=====

[16]
Below is a relaxed Pu2Ir crystal, with properties calculated at the PBE level.

Unit cell a=7.159 b=4.378 c=8.997 alpha=90.00 beta=90.00 gamma=90.00
Space group Pnma (No. 62)
Symmetry-distinct sites (fractional):
Pu (0.017, 0.250, 0.173)
Pu (0.150, 0.250, 0.587)
Ir (0.246, 0.250, 0.900)

Properties
* DFT total energy: -12.86 eV per atom
* crystal system: orthorhombic
* formation energy from the elements: -0.35 eV/atom

=====

[17]
Below is a relaxed Pu3Ir crystal, with properties calculated at the PBE level.

Unit cell a=3.604 b=5.219 c=8.334 alpha=90.00 beta=90.00 gamma=90.00
Space group Immm (No. 71)
Symmetry-distinct sites (fractional):
Pu (0.000, 0.000, 0.000)
Pu (0.000, 0.500, 0.259)
Ir (0.000, 0.000, 0.500)

Properties
* DFT total energy: -13.10 eV per atom
* crystal system: orthorhombic
* formation energy from the elements: -0.14 eV/atom

=====

[18]
Below is a relaxed Pu3Ir crystal, with properties calculated at the PBE level.

Unit cell a=3.188 b=4.755 c=5.828 alpha=90.00 beta=90.00 gamma=90.00
Space group Pmm2 (No. 25)
Symmetry-distinct sites (fractional):
Pu (0.000, 0.000, 0.000)
Pu (0.000, 0.500, 0.315)
Pu (0.500, 0.500, 0.767)
Ir (0.500, 0.000, 0.492)

Properties
* DFT total energy: -12.91 eV per atom
* crystal system: orthorhombic
* formation energy from the elements: 0.06 eV/atom

=====

[19]
Below is a relaxed Pu3Ir crystal, with properties calculated at the PBE level.

Unit cell a=6.816 b=6.816 c=6.816 alpha=90.00 beta=90.00 gamma=90.00
Space group Fm-3m (No. 225)
Symmetry-distinct sites (fractional):
Pu (0.000, 0.000, 0.000)
Pu (0.250, 0.250, 0.250)
Ir (0.000, 0.000, 0.500)

Properties
* DFT total energy: -13.14 eV per atom
* crystal system: cubic
* formation energy from the elements: -0.17 eV/atom

=====

[20]
Below is a relaxed PuIr crystal, with properties calculated at the PBE level.

Unit cell a=10.390 b=4.039 c=4.073 alpha=90.00 beta=112.80 gamma=90.00
Space group C2/m (No. 12)
Symmetry-distinct sites (fractional):
Pu (0.125, 0.000, 0.376)
Ir (0.125, 0.500, 0.877)

Properties
* DFT total energy: -11.94 eV per atom
* crystal system: monoclinic
* formation energy from the elements: -0.35 eV/atom